<a>
Here is crystalline Tb2PmEr at its relaxed geometry from Alexandria via LeMat-Bulk. Energies are from PBE.

The value obtained for the volume is 32.13 A^3/atom.

It has space group I-4m2 (No. 119), with a = 5.054 Å, b = 5.054 Å, c = 10.064 Å, α = 90.00°, β = 90.00° and γ = 90.00°. Symmetry generates all atoms from Tb at (0.000, 0.000, 0.000), Tb at (0.000, 0.500, 0.250), Pm at (0.000, 0.500, 0.750) and Er at (0.000, 0.000, 0.500).


<b>
Here is crystalline Tb2PmEr at its relaxed geometry from Alexandria via LeMat-Bulk. Energies are from PBE.

The value obtained for the volume is 32.56 A^3/atom.

It has space group Fm-3m (No. 225), with a = 8.046 Å, b = 8.046 Å, c = 8.046 Å, α = 90.00°, β = 90.00° and γ = 90.00°. Symmetry generates all atoms from Tb at (0.250, 0.250, 0.250), Pm at (0.000, 0.000, 0.000) and Er at (0.000, 0.000, 0.500).


Which one sits at the bottom of the stability order? <b> does.


<a>
Here is crystalline Tb3Pm4Er8 at its relaxed geometry from Alexandria via LeMat-Bulk. Energies are from PBE.

The value obtained for the volume is 33.16 A^3/atom.

It has space group C2/m (No. 12), with a = 13.354 Å, b = 12.812 Å, c = 6.721 Å, α = 90.00°, β = 120.10° and γ = 90.00°. Symmetry generates all atoms from Tb at (0.000, 0.000, 0.000), Tb at (0.250, 0.250, 0.500), Pm at (0.000, 0.500, 0.000), Pm at (0.000, 0.500, 0.500), Pm at (0.250, 0.250, 0.000), Er at (0.000, 0.138, 0.500), Er at (0.000, 0.245, 0.000), Er at (0.231, 0.000, 0.969) and Er at (0.232, 0.000, 0.491).


<b>
Here is crystalline Tb3Pm4Er8 at its relaxed geometry from Alexandria via LeMat-Bulk. Energies are from PBE.

The value obtained for the volume is 32.61 A^3/atom.

It has space group R-3m (No. 166, hexagonal axes), with a = 6.9321 Å, b = 6.9321 Å, c = 35.2642 Å, α = 90.00°, β = 90.00° and γ = 120.00°. Symmetry generates all atoms from Tb at (0.0000, 0.5000, 0.0000), Pm at (0.0000, 0.0000, 0.0000), Pm at (0.0000, 0.0000, 0.1635), Pm at (0.0000, 0.0000, 0.5000), Er at (0.0000, 0.0000, 0.2550) and Er at (0.0016, 0.5008, 0.2508).


Which one sits at the bottom of the stability order? <a> does.


<a>
Here is crystalline Tb4PmEr7 at its relaxed geometry from Alexandria via LeMat-Bulk. Energies are from PBE.

The value obtained for the volume is 31.64 A^3/atom.

It has space group P-1 (No. 2), with a = 6.497 Å, b = 6.780 Å, c = 8.967 Å, α = 84.99°, β = 76.84° and γ = 81.41°. Symmetry generates all atoms from Tb at (0.138, 0.304, 0.288), Tb at (0.337, 0.886, 0.688), Pm at (0.500, 0.500, 0.000), Er at (0.016, 0.249, 0.950), Er at (0.183, 0.797, 0.357), Er at (0.311, 0.394, 0.614) and Er at (0.500, 0.000, 0.000).


<b>
Here is crystalline Tb4PmEr7 at its relaxed geometry from Alexandria via LeMat-Bulk. Energies are from PBE.

The value obtained for the volume is 32.51 A^3/atom.

It has space group C2/m (No. 12), with a = 12.034 Å, b = 5.830 Å, c = 12.596 Å, α = 90.00°, β = 118.01° and γ = 90.00°. Symmetry generates all atoms from Tb at (0.134, 0.000, 0.275), Tb at (0.244, 0.500, 0.180), Pm at (0.000, 0.500, 0.500), Er at (0.000, 0.000, 0.500), Er at (0.061, 0.500, 0.826), Er at (0.134, 0.000, 0.001) and Er at (0.211, 0.500, 0.423).


Which one sits at the bottom of the stability order? <b> does.


<a>
Here is crystalline Tb3Pm8Er2 at its relaxed geometry from Alexandria via LeMat-Bulk. Energies are from PBE.

The value obtained for the volume is 34.47 A^3/atom.

It has space group C2/m (No. 12), with a = 20.252 Å, b = 7.731 Å, c = 5.725 Å, α = 90.00°, β = 90.01° and γ = 90.00°. Symmetry generates all atoms from Tb at (0.000, 0.000, 0.000), Tb at (0.000, 0.287, 0.500), Pm at (0.107, 0.294, 0.000), Pm at (0.132, 0.000, 0.500), Pm at (0.173, 0.500, 0.501) and Er at (0.240, 0.000, 0.999).


<b>
Here is crystalline Tb3Pm8Er2 at its relaxed geometry from Alexandria via LeMat-Bulk. Energies are from PBE.

The value obtained for the volume is 33.21 A^3/atom.

It has space group P-1 (No. 2), with a = 6.240 Å, b = 8.075 Å, c = 9.550 Å, α = 115.00°, β = 90.09° and γ = 97.35°. Symmetry generates all atoms from Tb at (0.000, 0.000, 0.000), Tb at (0.384, 0.309, 0.539), Pm at (0.077, 0.461, 0.306), Pm at (0.155, 0.925, 0.616), Pm at (0.307, 0.844, 0.230), Pm at (0.463, 0.768, 0.847) and Er at (0.231, 0.385, 0.923).


Which one sits at the bottom of the stability order? <a> does.


<a>
Here is crystalline TbPm4Er5 at its relaxed geometry from Alexandria via LeMat-Bulk. Energies are from PBE.

The value obtained for the volume is 33.61 A^3/atom.

It has space group C2/m (No. 12), with a = 17.104 Å, b = 3.518 Å, c = 11.170 Å, α = 90.00°, β = 90.09° and γ = 90.00°. Symmetry generates all atoms from Tb at (0.000, 0.000, 0.000), Pm at (0.031, 0.500, 0.749), Pm at (0.156, 0.000, 0.250), Er at (0.000, 0.000, 0.500), Er at (0.173, 0.500, 0.550) and Er at (0.174, 0.500, 0.948).


<b>
Here is crystalline TbPm4Er5 at its relaxed geometry from Alexandria via LeMat-Bulk. Energies are from PBE.

The value obtained for the volume is 33.47 A^3/atom.

It has space group I4mm (No. 107), with a = 10.640 Å, b = 10.640 Å, c = 5.913 Å, α = 90.00°, β = 90.00° and γ = 90.00°. Symmetry generates all atoms from Tb at (0.000, 0.000, 0.000), Pm at (0.000, 0.324, 0.756), Er at (0.000, 0.000, 0.524) and Er at (0.189, 0.189, 0.263).


Which one sits at the bottom of the stability order? <b> does.


<a>
Here is crystalline Tb3PmEr6 at its relaxed geometry from Alexandria via LeMat-Bulk. Energies are from PBE.

The value obtained for the volume is 31.87 A^3/atom.

It has space group Cmc2_1 (No. 36), with a = 10.978 Å, b = 18.846 Å, c = 6.163 Å, α = 90.00°, β = 90.00° and γ = 90.00°. Symmetry generates all atoms from Tb at (0.000, 0.109, 0.000), Tb at (0.173, 0.391, 0.389), Pm at (0.000, 0.293, 0.083), Er at (0.000, 0.215, 0.571), Er at (0.000, 0.453, 0.846), Er at (0.165, 0.047, 0.461) and Er at (0.248, 0.289, 0.796).


<b>
Here is crystalline Tb3PmEr6 at its relaxed geometry from Alexandria via LeMat-Bulk. Energies are from PBE.

The value obtained for the volume is 32.02 A^3/atom.

It has space group R3 (No. 146, hexagonal axes), with a = 9.7879 Å, b = 9.7879 Å, c = 11.5771 Å, α = 90.00°, β = 90.00° and γ = 120.00°. Symmetry generates all atoms from Tb at (0.0000, 0.0000, 0.0000), Tb at (0.0000, 0.0000, 0.2456), Tb at (0.0000, 0.0000, 0.7488), Pm at (0.0000, 0.0000, 0.5010), Er at (0.0007, 0.3363, 0.1732) and Er at (0.0023, 0.6644, 0.6734).


Which one sits at the bottom of the stability order? <b> does.


<a>
Here is crystalline Tb4Pm3Er4 at its relaxed geometry from Alexandria via LeMat-Bulk. Energies are from PBE.

The value obtained for the volume is 32.30 A^3/atom.

It has space group P-1 (No. 2), with a = 4.182 Å, b = 4.184 Å, c = 20.520 Å, α = 95.79°, β = 95.85° and γ = 90.03°. Symmetry generates all atoms from Tb at (0.047, 0.048, 0.094), Tb at (0.318, 0.317, 0.633), Pm at (0.136, 0.137, 0.273), Pm at (0.500, 0.500, 0.000), Er at (0.228, 0.228, 0.455) and Er at (0.408, 0.408, 0.819).


<b>
Here is crystalline Tb4Pm3Er4 at its relaxed geometry from Alexandria via LeMat-Bulk. Energies are from PBE.

The value obtained for the volume is 32.06 A^3/atom.

It has space group P-1 (No. 2), with a = 3.492 Å, b = 5.642 Å, c = 18.204 Å, α = 81.12°, β = 84.51° and γ = 90.00°. Symmetry generates all atoms from Tb at (0.045, 0.047, 0.408), Tb at (0.181, 0.682, 0.137), Pm at (0.363, 0.863, 0.774), Pm at (0.500, 0.500, 0.500), Er at (0.091, 0.592, 0.318) and Er at (0.234, 0.234, 0.032).


Which one sits at the bottom of the stability order? <a> does.


<a>
Here is crystalline Tb5Pm3Er2 at its relaxed geometry from Alexandria via LeMat-Bulk. Energies are from PBE.

The value obtained for the volume is 33.22 A^3/atom.

It has space group Ibam (No. 72), with a = 12.148 Å, b = 17.074 Å, c = 6.406 Å, α = 90.00°, β = 90.00° and γ = 90.00°. Symmetry generates all atoms from Tb at (0.000, 0.000, 0.250), Tb at (0.237, 0.332, 0.000), Tb at (0.249, 0.000, 0.250), Pm at (0.000, 0.500, 0.250), Pm at (0.088, 0.168, 0.000) and Er at (0.094, 0.331, 0.500).


<b>
Here is crystalline Tb5Pm3Er2 at its relaxed geometry from Alexandria via LeMat-Bulk. Energies are from PBE.

The value obtained for the volume is 33.26 A^3/atom.

It has space group C2/c (No. 15), with a = 10.740 Å, b = 15.808 Å, c = 9.475 Å, α = 90.00°, β = 124.20° and γ = 90.00°. Symmetry generates all atoms from Tb at (0.000, 0.026, 0.250), Tb at (0.000, 0.272, 0.750), Tb at (0.000, 0.469, 0.750), Tb at (0.234, 0.386, 0.222), Pm at (0.000, 0.233, 0.250), Pm at (0.142, 0.124, 0.046) and Er at (0.155, 0.382, 0.547).


Which one sits at the bottom of the stability order? <a> does.


<a>
Here is crystalline TbPm2Er9 at its relaxed geometry from Alexandria via LeMat-Bulk. Energies are from PBE.

The value obtained for the volume is 31.42 A^3/atom.

It has space group P6/mmm (No. 191), with a = 11.1754 Å, b = 11.1754 Å, c = 3.4864 Å, α = 90.00°, β = 90.00° and γ = 120.00°. Symmetry generates all atoms from Tb at (0.0000, 0.0000, 0.0000), Pm at (0.3333, 0.6667, 0.0000), Er at (0.0000, 0.5000, 0.0000) and Er at (0.1749, 0.3498, 0.5000).


<b>
Here is crystalline TbPm2Er9 at its relaxed geometry from Alexandria via LeMat-Bulk. Energies are from PBE.

The value obtained for the volume is 31.19 A^3/atom.

It has space group P4/mmm (No. 123), with a = 4.997 Å, b = 4.997 Å, c = 14.986 Å, α = 90.00°, β = 90.00° and γ = 90.00°. Symmetry generates all atoms from Tb at (0.000, 0.000, 0.000), Pm at (0.000, 0.000, 0.333), Er at (0.000, 0.500, 0.165), Er at (0.000, 0.500, 0.500), Er at (0.500, 0.500, 0.000) and Er at (0.500, 0.500, 0.333).


Which one sits at the bottom of the stability order? <a> does.